# 1
Below is an optimized crystal structure of CsSrV, with properties calculated at the GGA-PBE level.

Properties
Calculated total energy ... -3.222 eV per atom
Energy of formation ... 662.5 meV per atom
Density of states at the Fermi level ... 17.7 states/eV per cell
Distance to the lowest polymorph of the same formula ... 0.148 eV/atom

Cell lengths 4.096, 5.111, 29.375 Å; angles 90.00, 90.00, 90.00 degrees
Fractional coordinates of all 12 atoms:
Cs (0.229, 0.250, 0.075)
Cs (0.271, 0.750, 0.575)
Cs (0.729, 0.250, 0.425)
Cs (0.771, 0.750, 0.925)
Sr (0.217, 0.750, 0.308)
Sr (0.283, 0.250, 0.808)
Sr (0.717, 0.750, 0.192)
Sr (0.783, 0.250, 0.692)
V (0.215, 0.250, 0.235)
V (0.285, 0.750, 0.735)
V (0.715, 0.250, 0.265)
V (0.785, 0.750, 0.765)

***

# 2
Below is an optimized crystal structure of CsSrV, with properties calculated at the GGA-PBE level.

Properties
Calculated total energy ... -3.209 eV per atom
Energy of formation ... 676.0 meV per atom
Density of states at the Fermi level ... 9.1 states/eV per cell
Distance to the lowest polymorph of the same formula ... 0.161 eV/atom

Cell lengths 12.699, 12.699, 12.699 Å; angles 26.52, 26.52, 26.52 degrees
Fractional coordinates of all 6 atoms:
Cs (0.227, 0.227, 0.227)
Cs (0.773, 0.773, 0.773)
Sr (0.355, 0.355, 0.355)
Sr (0.645, 0.645, 0.645)
V (0.025, 0.025, 0.025)
V (0.975, 0.975, 0.975)

***

# 3
Below is an optimized crystal structure of CsSrV, with properties calculated at the GGA-PBE level.

Properties
Calculated total energy ... -3.214 eV per atom
Energy of formation ... 670.3 meV per atom
Density of states at the Fermi level ... 7.6 states/eV per cell
Distance to the lowest polymorph of the same formula ... 0.156 eV/atom

Cell lengths 5.116, 6.345, 12.068 Å; angles 81.76, 78.25, 66.28 degrees
Fractional coordinates of all 6 atoms:
Cs (0.217, 0.247, 0.334)
Cs (0.783, 0.753, 0.666)
Sr (0.386, 0.311, 0.914)
Sr (0.614, 0.689, 0.086)
V (0.066, 0.932, 0.932)
V (0.934, 0.068, 0.068)

***

# 4
Below is an optimized crystal structure of CsSrV, with properties calculated at the GGA-PBE level.

Properties
Calculated total energy ... -2.751 eV per atom
Energy of formation ... 1133.8 meV per atom
Density of states at the Fermi level ... 18.9 states/eV per cell
Distance to the lowest polymorph of the same formula ... 0.619 eV/atom

Cell lengths 6.218, 10.745, 8.115 Å; angles 90.00, 90.00, 90.00 degrees
Fractional coordinates of all 12 atoms:
Cs (0.000, 0.166, 0.250)
Cs (0.000, 0.834, 0.750)
Cs (0.500, 0.334, 0.750)
Cs (0.500, 0.666, 0.250)
Sr (0.000, 0.500, 0.000)
Sr (0.000, 0.500, 0.500)
Sr (0.500, 0.000, 0.000)
Sr (0.500, 0.000, 0.500)
V (0.000, 0.167, 0.750)
V (0.000, 0.833, 0.250)
V (0.500, 0.333, 0.250)
V (0.500, 0.667, 0.750)